Material: Hf7Al2Hg2
Method: DFT, PBE-GGA
State: optimized geometry

Energy relative to the elements: 0.286 eV per atom
Size of the total moment: 0.000 μB per atom
Symmetry: C2/m

Unit cell a=6.036 b=7.940 c=6.036 alpha=83.67 beta=119.78 gamma=96.33
Fractional positions:
Hf 0.494 0.199 0.506
Hg 0.770 0.500 0.770
Hf 0.470 0.294 0.004
Hf 0.004 0.706 0.470
Al 0.732 0.008 0.268
Hf 0.000 0.000 0.000
Hf 0.506 0.801 0.494
Hf 0.996 0.294 0.530
Hf 0.530 0.706 0.996
Hg 0.230 0.500 0.230
Al 0.268 0.992 0.732